VASP calculation (PBE) on a relaxed La3Mg3Hg2Ir crystal.

The structure in CIF format:
```
data_La3Mg3Hg2Ir
_chemical_formula_sum 'La3 Mg3 Hg2 Ir1'
_cell_length_a 7.4955
_cell_length_b 7.4955
_cell_length_c 4.8093
_cell_angle_alpha 90.00
_cell_angle_beta 90.00
_cell_angle_gamma 120.00
_space_group_name_H-M_alt 'P -6 2 m'
_space_group_IT_number 189
_space_group_name_Hall 'P -6 -2'
loop_
_atom_site_label
_atom_site_type_symbol
_atom_site_fract_x
_atom_site_fract_y
_atom_site_fract_z
La1 La 0.0000 0.3888 0.0000
Mg1 Mg 0.0000 0.7723 0.5000
Hg1 Hg 0.3333 0.6667 0.5000
Ir1 Ir 0.0000 0.0000 0.0000
```

Calculated values
DFT total energy in eV for the cell shown: -33.07